Entry 1:
First-principles (PBE) data for CsLiSnI4 after structural relaxation, as listed in Alexandria.

Calculated values
electronic total energy = -2.829 eV per atom
E_form (uncorrected) = -94 kJ/mol of atoms
calculated volume = 44.732 Å³/atom

Unit cell a=7.665 b=8.277 c=10.481 alpha=90.00 beta=109.65 gamma=90.00
Positions (direct):
1 Cs 0.759 0.750 0.951
2 Cs 0.241 0.250 0.049
3 Li 0.234 0.750 0.330
4 Li 0.766 0.250 0.670
5 Sn 0.788 0.750 0.472
6 Sn 0.212 0.250 0.528
7 I 0.009 0.506 0.705
8 I 0.991 0.006 0.295
9 I 0.991 0.494 0.295
10 I 0.009 0.994 0.705
11 I 0.440 0.750 0.166
12 I 0.560 0.250 0.834
13 I 0.474 0.750 0.586
14 I 0.526 0.250 0.414

Entry 2:
First-principles (PBE) data for SmGdTcAg after structural relaxation, as listed in Alexandria.

Calculated values
ΔH_f (0 K) = -0.050 eV per atom
electronic total energy = -8.054 eV per atom
calculated volume = 22.677 Å³/atom

Unit cell a=5.043 b=5.043 c=5.043 alpha=60.00 beta=60.00 gamma=60.00
Each line ends with the local moment (μB).
Positions (direct):
1 Gd 0.750 0.750 0.750  7.05
2 Ag 0.500 0.500 0.500  0.01
3 Sm 0.250 0.250 0.250  0.00
4 Tc 0.000 0.000 0.000  -0.17

Entry 3:
First-principles (PBE) data for HfVCrRh2 after structural relaxation, as listed in Alexandria.

Calculated values
ΔH_f (0 K) = 0.419 eV per atom
electronic total energy = -8.261 eV per atom
calculated volume = 17.000 Å³/atom

Unit cell a=4.583 b=4.047 c=4.583 alpha=90.00 beta=90.00 gamma=90.00
Positions (direct):
1 Rh 0.000 0.000 0.500
2 Rh 0.500 0.000 0.000
3 V 0.000 0.500 0.000
4 Hf 0.500 0.500 0.500
5 Cr 0.000 0.000 0.000

Entry 4:
First-principles (PBE) data for KIr2W after structural relaxation, as listed in Alexandria.

Calculated values
ΔH_f (0 K) = 0.388 eV per atom
distance to the lowest polymorph of the same formula = 110 meV per atom
electronic total energy = -7.555 eV per atom
calculated volume = 17.891 Å³/atom

Unit cell a=10.175 b=10.175 c=10.175 alpha=16.21 beta=16.21 gamma=16.21
Positions (direct):
1 Ir 0.013 0.013 0.013
2 Ir 0.487 0.487 0.487
3 K 0.250 0.250 0.250
4 W 0.750 0.750 0.750

Entry 5:
First-principles (PBE) data for MgNiRu2 after structural relaxation, as listed in Alexandria.

Calculated values
ΔH_f (0 K) = 0.210 eV per atom
electronic total energy = -6.272 eV per atom
calculated volume = 13.841 Å³/atom

Unit cell a=4.765 b=4.765 c=2.663 alpha=90.00 beta=90.00 gamma=113.68
Positions (direct):
1 Mg 0.500 0.000 0.500
2 Ni 0.000 0.500 0.500
3 Ru 0.000 0.000 0.000
4 Ru 0.500 0.500 0.000

Entry 6:
First-principles (PBE) data for YPu4Sc after structural relaxation, as listed in Alexandria.

Calculated values
ΔH_f (0 K) = 0.266 eV per atom
electronic total energy = -11.421 eV per atom
calculated volume = 26.731 Å³/atom

Unit cell a=6.099 b=6.099 c=6.099 alpha=60.00 beta=60.00 gamma=60.00
Each line ends with the local moment (μB).
Positions (direct):
1 Y 0.000 0.000 0.000  0.04
2 Sc 0.250 0.250 0.250  0.00
3 Pu 0.625 0.625 0.126  5.33
4 Pu 0.625 0.126 0.625  5.33
5 Pu 0.625 0.625 0.625  5.33
6 Pu 0.126 0.625 0.625  5.33

Entry 7:
First-principles (PBE) data for Pu2Ga3Ag after structural relaxation, as listed in Alexandria.

Calculated values
ΔH_f (0 K) = -0.299 eV per atom
distance to the lowest polymorph of the same formula = 0 meV per atom
electronic total energy = -7.065 eV per atom
calculated volume = 20.319 Å³/atom

Unit cell a=5.681 b=5.681 c=8.825 alpha=101.04 beta=101.04 gamma=113.88
Each line ends with the local moment (μB).
Positions (direct):
1 Pu 0.250 0.750 0.500  5.42
2 Pu 0.744 0.744 0.000  5.39
3 Pu 0.750 0.250 0.500  5.42
4 Pu 0.256 0.256 0.000  5.39
5 Ga 0.330 0.836 0.166  -0.04
6 Ga 0.164 0.670 0.834  -0.04
7 Ga 0.670 0.164 0.834  -0.04
8 Ga 0.836 0.330 0.166  -0.04
9 Ga 0.165 0.165 0.330  -0.02
10 Ga 0.835 0.835 0.670  -0.02
11 Ag 0.667 0.667 0.335  0.03
12 Ag 0.333 0.333 0.665  0.03

Entry 8:
First-principles (PBE) data for Be2AgP after structural relaxation, as listed in Alexandria.

Calculated values
ΔH_f (0 K) = 0.277 eV per atom
electronic total energy = -3.651 eV per atom
calculated volume = 12.963 Å³/atom

Unit cell a=3.095 b=3.095 c=5.414 alpha=90.00 beta=90.00 gamma=90.00
Positions (direct):
1 P 0.000 0.000 0.418
2 Ag 0.500 0.500 0.795
3 Be 0.000 0.000 0.031
4 Be 0.500 0.500 0.256

Entry 9:
First-principles (PBE) data for CaZrIr2 after structural relaxation, as listed in Alexandria.

Calculated values
ΔH_f (0 K) = -0.630 eV per atom
electronic total energy = -7.698 eV per atom
calculated volume = 19.240 Å³/atom

Unit cell a=3.224 b=3.318 c=7.924 alpha=65.23 beta=90.00 gamma=90.00
Positions (direct):
1 Ca 0.500 0.750 0.750
2 Ir 0.000 0.968 0.032
3 Ir 0.000 0.532 0.468
4 Zr 0.500 0.250 0.250

Entry 10:
First-principles (PBE) data for YCrAu2 after structural relaxation, as listed in Alexandria.

Calculated values
ΔH_f (0 K) = -0.309 eV per atom
distance to the lowest polymorph of the same formula = 54 meV per atom
electronic total energy = -5.969 eV per atom
calculated volume = 19.632 Å³/atom

Unit cell a=5.321 b=5.321 c=5.321 alpha=133.24 beta=133.24 gamma=68.28
Each line ends with the local moment (μB).
Positions (direct):
1 Au 0.000 0.000 0.000  0.00
2 Au 0.250 0.750 0.500  0.00
3 Cr 0.500 0.500 0.000  3.60
4 Y 0.750 0.250 0.500  0.04

Entry 11:
First-principles (PBE) data for Na2Ti3HgO8 after structural relaxation, as listed in Alexandria.

Calculated values
electronic total energy = -7.075 eV per atom
E_form (uncorrected) = -226 kJ/mol of atoms
calculated volume = 12.761 Å³/atom

Unit cell a=6.130 b=6.130 c=6.532 alpha=62.02 beta=62.02 gamma=60.00
Positions (direct):
1 Na 0.125 0.125 0.625
2 Na 0.500 0.500 0.500
3 Ti 0.496 0.009 0.998
4 Ti 0.009 0.496 0.998
5 Ti 0.496 0.496 0.998
6 Hg 0.872 0.872 0.385
7 O 0.267 0.267 0.198
8 O 0.734 0.734 0.798
9 O 0.246 0.246 0.820
10 O 0.689 0.246 0.820
11 O 0.246 0.689 0.820
12 O 0.751 0.310 0.188
13 O 0.310 0.751 0.188
14 O 0.751 0.751 0.188

Entry 12:
First-principles (PBE) data for TlAg2Au after structural relaxation, as listed in Alexandria.

Calculated values
ΔH_f (0 K) = 0.076 eV per atom
distance to the lowest polymorph of the same formula = 19 meV per atom
electronic total energy = -2.760 eV per atom
calculated volume = 20.141 Å³/atom

Unit cell a=5.265 b=5.265 c=5.000 alpha=76.78 beta=76.78 gamma=36.80
Positions (direct):
1 Tl 0.752 0.752 0.743
2 Au 0.508 0.508 0.493
3 Ag 0.991 0.991 0.019
4 Ag 0.248 0.248 0.245

Entry 13:
First-principles (PBE) data for La3Ho4Tm4 after structural relaxation, as listed in Alexandria.

Calculated values
ΔH_f (0 K) = 0.033 eV per atom
distance to the lowest polymorph of the same formula = 0 meV per atom
electronic total energy = -4.602 eV per atom
calculated volume = 32.265 Å³/atom

Unit cell a=3.590 b=5.023 c=19.924 alpha=97.23 beta=95.15 gamma=90.01
Positions (direct):
1 La 0.637 0.637 0.275
2 La 0.363 0.363 0.725
3 La 0.000 0.000 0.000
4 Ho 0.547 0.547 0.093
5 Ho 0.453 0.454 0.907
6 Ho 0.816 0.816 0.632
7 Ho 0.184 0.184 0.368
8 Tm 0.091 0.090 0.181
9 Tm 0.272 0.272 0.544
10 Tm 0.728 0.728 0.456
11 Tm 0.909 0.910 0.819

Entry 14:
First-principles (PBE) data for La2Ni5Ge4 after structural relaxation, as listed in Alexandria.

Calculated values
ΔH_f (0 K) = -0.550 eV per atom
electronic total energy = -5.753 eV per atom
calculated volume = 17.198 Å³/atom

Unit cell a=5.613 b=5.674 c=7.388 alpha=79.17 beta=67.67 gamma=60.36
Positions (direct):
1 La 0.860 0.000 0.279
2 La 0.140 0.000 0.721
3 Ni 0.500 0.000 0.000
4 Ni 0.000 0.500 0.000
5 Ni 0.500 0.500 0.000
6 Ni 0.250 0.500 0.500
7 Ni 0.750 0.500 0.500
8 Ge 0.474 0.310 0.741
9 Ge 0.526 0.690 0.259
10 Ge 0.215 0.310 0.259
11 Ge 0.785 0.690 0.741

Entry 15:
First-principles (PBE) data for Ca2LaSm4 after structural relaxation, as listed in Alexandria.

Calculated values
ΔH_f (0 K) = 0.587 eV per atom
distance to the lowest polymorph of the same formula = 499 meV per atom
electronic total energy = -3.385 eV per atom
calculated volume = 41.032 Å³/atom

Unit cell a=5.675 b=5.675 c=9.779 alpha=106.87 beta=106.87 gamma=90.00
Positions (direct):
1 Ca 0.628 0.628 0.256
2 Ca 0.372 0.372 0.744
3 La 0.000 0.000 0.000
4 Sm 0.829 0.829 0.657
5 Sm 0.171 0.171 0.343
6 Sm 0.000 0.500 0.000
7 Sm 0.500 0.000 0.000

Entry 16:
First-principles (PBE) data for CaPm2InN after structural relaxation, as listed in Alexandria.

Calculated values
electronic total energy = -5.361 eV per atom
E_form (uncorrected) = -82 kJ/mol of atoms
calculated volume = 24.588 Å³/atom

Unit cell a=4.899 b=5.010 c=5.010 alpha=90.00 beta=90.00 gamma=90.00
Positions (direct):
1 Ca 0.500 0.000 0.000
2 Pm 0.000 0.000 0.500
3 Pm 0.000 0.500 0.000
4 In 0.500 0.500 0.500
5 N 0.000 0.000 0.000

Entry 17:
First-principles (PBE) data for TbCdInPd after structural relaxation, as listed in Alexandria.

Calculated values
ΔH_f (0 K) = -0.536 eV per atom
electronic total energy = -3.905 eV per atom
calculated volume = 21.395 Å³/atom

Unit cell a=4.946 b=4.946 c=4.946 alpha=60.00 beta=60.00 gamma=60.00
Positions (direct):
1 Cd 0.750 0.750 0.750
2 Tb 0.500 0.500 0.500
3 Pd 0.250 0.250 0.250
4 In 0.000 0.000 0.000

Entry 18:
First-principles (PBE) data for Mg2ZnOs after structural relaxation, as listed in Alexandria.

Calculated values
ΔH_f (0 K) = 0.155 eV per atom
electronic total energy = -3.769 eV per atom
calculated volume = 16.264 Å³/atom

Unit cell a=2.741 b=4.265 c=5.565 alpha=90.00 beta=90.00 gamma=90.00
Positions (direct):
1 Mg 0.000 0.000 0.988
2 Mg 0.500 0.500 0.276
3 Os 0.000 0.000 0.496
4 Zn 0.500 0.500 0.740

Entry 19:
First-principles (PBE) data for BaHg2Mo after structural relaxation, as listed in Alexandria.

Calculated values
ΔH_f (0 K) = 0.463 eV per atom
distance to the lowest polymorph of the same formula = 98 meV per atom
electronic total energy = -2.877 eV per atom
calculated volume = 28.995 Å³/atom

Unit cell a=4.500 b=3.603 c=7.153 alpha=89.98 beta=90.00 gamma=90.00
Each line ends with the local moment (μB).
Positions (direct):
1 Ba 0.500 0.625 0.761  -0.01
2 Hg 0.000 0.125 0.037  -0.01
3 Hg 0.500 0.125 0.344  0.00
4 Mo 0.000 0.625 0.358  2.31

Entry 20:
First-principles (PBE) data for LaDy2Nb after structural relaxation, as listed in Alexandria.

Calculated values
ΔH_f (0 K) = 0.569 eV per atom
electronic total energy = -5.481 eV per atom
calculated volume = 28.337 Å³/atom

Unit cell a=3.325 b=3.325 c=11.990 alpha=82.03 beta=82.03 gamma=60.00
Each line ends with the local moment (μB).
Positions (direct):
1 Nb 0.000 0.000 0.000  0.37
2 La 0.500 0.500 0.500  0.02
3 Dy 0.081 0.081 0.756  0.06
4 Dy 0.919 0.919 0.244  0.06